[1]
A geometry-optimized NbHOs2Pt structure, computed with GGA-PBE.

extended XYZ file:
```
5
Lattice="4.021 0.000 0.000 0.000 4.021 0.000 0.000 0.000 3.931" Properties=species:S:1:pos:R:3 pbc="T T T"
Nb 0.000 0.000 0.000
H 2.010 2.010 1.966
Os 0.000 2.010 1.966
Os 2.010 0.000 1.966
Pt 2.010 2.010 0.000
```

Output
space-group type	P4/mmm, No. 123
electronic total energy	-8.510	eV/atom

---

[2]
A geometry-optimized Pr3BeIr2 structure, computed with GGA-PBE.

extended XYZ file:
```
24
Lattice="11.590 0.000 0.000 0.000 4.040 0.000 0.000 0.000 12.131" Properties=species:S:1:pos:R:3 pbc="T T T"
Pr 0.749 1.010 1.458
Pr 1.449 3.030 6.732
Pr 2.310 1.010 9.707
Pr 3.485 3.030 3.642
Pr 4.346 1.010 0.666
Pr 5.045 3.030 7.524
Pr 6.544 1.010 4.607
Pr 7.244 3.030 11.464
Pr 8.105 1.010 8.489
Pr 9.280 3.030 2.424
Pr 10.141 1.010 5.399
Pr 10.840 3.030 10.672
Be 1.475 1.010 4.471
Be 4.320 3.030 10.537
Be 7.270 1.010 1.594
Be 10.115 3.030 7.659
Ir 0.467 3.030 3.910
Ir 2.238 3.030 11.804
Ir 3.557 1.010 5.739
Ir 5.327 1.010 9.975
Ir 6.262 3.030 2.156
Ir 8.032 3.030 6.392
Ir 9.352 1.010 0.326
Ir 11.122 1.010 8.221
```

Output
formation enthalpy at 0 K	-12.4	kcal/mol of atoms
space-group type	Pnma, No. 62
electronic total energy	-6.501	eV/atom

---

[3]
A geometry-optimized LiDyTmCu structure, computed with GGA-PBE.

extended XYZ file:
```
4
Lattice="0.000 3.524 3.524 3.524 0.000 3.524 3.524 3.524 0.000" Properties=species:S:1:pos:R:3 pbc="T T T"
Li 0.000 0.000 0.000
Dy 1.762 1.762 1.762
Tm 5.286 5.286 5.286
Cu 3.524 3.524 3.524
```

Output
formation enthalpy at 0 K	-1.1	kcal/mol of atoms
space-group type	F-43m, No. 216
electronic total energy	-3.817	eV/atom

---

[4]
A geometry-optimized TbHo2Er structure, computed with GGA-PBE.

extended XYZ file:
```
4
Lattice="3.520 0.000 0.000 0.000 3.520 0.000 0.000 0.000 9.959" Properties=species:S:1:pos:R:3 pbc="T T T"
Tb 0.000 0.000 0.000
Ho 1.760 1.760 2.506
Ho 1.760 1.760 7.452
Er 0.000 0.000 4.979
```

Output
formation enthalpy at 0 K	0.5	kcal/mol of atoms
space-group type	P4/mmm, No. 123
electronic total energy	-4.566	eV/atom

---

Please write out number 1 again, unchanged.
A geometry-optimized NbHOs2Pt structure, computed with GGA-PBE.

extended XYZ file:
```
5
Lattice="4.021 0.000 0.000 0.000 4.021 0.000 0.000 0.000 3.931" Properties=species:S:1:pos:R:3 pbc="T T T"
Nb 0.000 0.000 0.000
H 2.010 2.010 1.966
Os 0.000 2.010 1.966
Os 2.010 0.000 1.966
Pt 2.010 2.010 0.000
```

Output
space-group type	P4/mmm, No. 123
electronic total energy	-8.510	eV/atom